Record 1
# PBE TbAsI, optimized geometry
# - Relative energy among the computed polymorphs: 0 meV per atom
# - Energy relative to the elements, uncorrected: -1155 meV per atom
data_TbAsI
_space_group_name_H-M_alt 'C 1 2/m 1'
_space_group_IT_number 12
_space_group_name_Hall '-C 2y'
_cell_length_a 7.429
_cell_length_b 14.331
_cell_length_c 4.042
_cell_angle_alpha 90.00
_cell_angle_beta 122.80
_cell_angle_gamma 90.00
loop_
_atom_site_label
_atom_site_type_symbol
_atom_site_fract_x
_atom_site_fract_y
_atom_site_fract_z
_atom_site_occupancy
Tb1 Tb 0.000 0.124 0.000 1
As1 As 0.201 0.000 0.718 1
I1 I 0.000 0.296 0.500 1

***

Record 2
# PBE TbAsI, optimized geometry
# - Relative energy among the computed polymorphs: 356 meV per atom
# - Energy relative to the elements, uncorrected: -799 meV per atom
data_TbAsI
_space_group_name_H-M_alt 'I 4 m m'
_space_group_IT_number 107
_space_group_name_Hall 'I 4 -2'
_cell_length_a 3.918
_cell_length_b 3.918
_cell_length_c 11.202
_cell_angle_alpha 90.00
_cell_angle_beta 90.00
_cell_angle_gamma 90.00
loop_
_atom_site_label
_atom_site_type_symbol
_atom_site_fract_x
_atom_site_fract_y
_atom_site_fract_z
_atom_site_occupancy
Tb1 Tb 0.000 0.000 0.000 1
As1 As 0.000 0.000 0.581 1
I1 I 0.000 0.000 0.304 1

***

Record 3
# PBE Tb4AsI5, optimized geometry
# - Energy relative to the elements, uncorrected: -1282 meV per atom
data_Tb4AsI5
_space_group_name_H-M_alt 'C 1 2/m 1'
_space_group_IT_number 12
_space_group_name_Hall '-C 2y'
_cell_length_a 19.095
_cell_length_b 4.192
_cell_length_c 8.799
_cell_angle_alpha 90.00
_cell_angle_beta 102.58
_cell_angle_gamma 90.00
loop_
_atom_site_label
_atom_site_type_symbol
_atom_site_fract_x
_atom_site_fract_y
_atom_site_fract_z
_atom_site_occupancy
Tb1 Tb 0.000 0.000 0.210 1
Tb2 Tb 0.146 0.500 0.072 1
As1 As 0.000 0.500 0.000 1
I1 I 0.000 0.500 0.500 1
I2 I 0.166 0.000 0.336 1
I3 I 0.171 0.000 0.826 1

***

Record 4
# PBE Tb2AsI, optimized geometry
# - Energy relative to the elements, uncorrected: -1226 meV per atom
data_Tb2AsI
_space_group_name_H-M_alt 'R 3 m'
_space_group_IT_number 160
_space_group_name_Hall 'R 3 -2"'
_cell_length_a 4.1267
_cell_length_b 4.1267
_cell_length_c 22.7250
_cell_angle_alpha 90.00
_cell_angle_beta 90.00
_cell_angle_gamma 120.00
loop_
_atom_site_label
_atom_site_type_symbol
_atom_site_fract_x
_atom_site_fract_y
_atom_site_fract_z
_atom_site_occupancy
Tb1 Tb 0.0000 0.0000 0.0000 1
Tb2 Tb 0.0000 0.0000 0.2003 1
As1 As 0.0000 0.0000 0.6019 1
I1 I 0.0000 0.0000 0.4325 1

***

Record 5
# PBE Tb2AsI2, optimized geometry
# - Energy relative to the elements, uncorrected: -1484 meV per atom
data_Tb2AsI2
_space_group_name_H-M_alt 'R -3 m'
_space_group_IT_number 166
_space_group_name_Hall '-R 3 2"'
_cell_length_a 4.1974
_cell_length_b 4.1974
_cell_length_c 34.3072
_cell_angle_alpha 90.00
_cell_angle_beta 90.00
_cell_angle_gamma 120.00
loop_
_atom_site_label
_atom_site_type_symbol
_atom_site_fract_x
_atom_site_fract_y
_atom_site_fract_z
_atom_site_occupancy
Tb1 Tb 0.0000 0.0000 0.1216 1
As1 As 0.0000 0.0000 0.5000 1
I1 I 0.0000 0.0000 0.2708 1

***

Record 6
# PBE TcAs2I, optimized geometry
# - Relative energy among the computed polymorphs: 0 meV per atom
# - Energy relative to the elements, uncorrected: 356 meV per atom
data_TcAs2I
_space_group_name_H-M_alt 'I -4 2 d'
_space_group_IT_number 122
_space_group_name_Hall 'I -4 2bw'
_cell_length_a 6.616
_cell_length_b 6.616
_cell_length_c 10.838
_cell_angle_alpha 90.00
_cell_angle_beta 90.00
_cell_angle_gamma 90.00
loop_
_atom_site_label
_atom_site_type_symbol
_atom_site_fract_x
_atom_site_fract_y
_atom_site_fract_z
_atom_site_occupancy
Tc1 Tc 0.000 0.000 0.000 1
As1 As 0.145 0.250 0.125 1
I1 I 0.000 0.000 0.500 1

***

Record 7
# PBE Tc3AsI, optimized geometry
# - Relative energy among the computed polymorphs: 0 meV per atom
# - Energy relative to the elements, uncorrected: 1316 meV per atom
data_Tc3AsI
_space_group_name_H-M_alt 'P m -3 m'
_space_group_IT_number 221
_space_group_name_Hall '-P 4 2 3'
_cell_length_a 4.645
_cell_length_b 4.645
_cell_length_c 4.645
_cell_angle_alpha 90.00
_cell_angle_beta 90.00
_cell_angle_gamma 90.00
loop_
_atom_site_label
_atom_site_type_symbol
_atom_site_fract_x
_atom_site_fract_y
_atom_site_fract_z
_atom_site_occupancy
Tc1 Tc 0.000 0.000 0.500 1
As1 As 0.000 0.000 0.000 1
I1 I 0.500 0.500 0.500 1

***

Record 8
# PBE Tc2AsI2, optimized geometry
# - Relative energy among the computed polymorphs: 91 meV per atom
# - Energy relative to the elements, uncorrected: 992 meV per atom
data_Tc2AsI2
_space_group_name_H-M_alt 'P 4/m b m'
_space_group_IT_number 127
_space_group_name_Hall '-P 4 2ab'
_cell_length_a 7.761
_cell_length_b 7.761
_cell_length_c 3.355
_cell_angle_alpha 90.00
_cell_angle_beta 90.00
_cell_angle_gamma 90.00
loop_
_atom_site_label
_atom_site_type_symbol
_atom_site_fract_x
_atom_site_fract_y
_atom_site_fract_z
_atom_site_occupancy
Tc1 Tc 0.130 0.370 0.000 1
As1 As 0.000 0.000 0.000 1
I1 I 0.160 0.660 0.500 1

***

Record 9
# PBE TcAs2I, optimized geometry
# - Relative energy among the computed polymorphs: 622 meV per atom
# - Energy relative to the elements, uncorrected: 978 meV per atom
data_TcAs2I
_space_group_name_H-M_alt 'F m -3 m'
_space_group_IT_number 225
_space_group_name_Hall '-F 4 2 3'
_cell_length_a 6.802
_cell_length_b 6.802
_cell_length_c 6.802
_cell_angle_alpha 90.00
_cell_angle_beta 90.00
_cell_angle_gamma 90.00
loop_
_atom_site_label
_atom_site_type_symbol
_atom_site_fract_x
_atom_site_fract_y
_atom_site_fract_z
_atom_site_occupancy
Tc1 Tc 0.000 0.000 0.000 1
As1 As 0.250 0.250 0.250 1
I1 I 0.000 0.000 0.500 1

***

Record 10
# PBE Tc2AsI, optimized geometry
# - Relative energy among the computed polymorphs: 0 meV per atom
# - Energy relative to the elements, uncorrected: 601 meV per atom
data_Tc2AsI
_space_group_name_H-M_alt 'F m -3 m'
_space_group_IT_number 225
_space_group_name_Hall '-F 4 2 3'
_cell_length_a 6.426
_cell_length_b 6.426
_cell_length_c 6.426
_cell_angle_alpha 90.00
_cell_angle_beta 90.00
_cell_angle_gamma 90.00
loop_
_atom_site_label
_atom_site_type_symbol
_atom_site_fract_x
_atom_site_fract_y
_atom_site_fract_z
_atom_site_occupancy
Tc1 Tc 0.250 0.250 0.250 1
As1 As 0.000 0.000 0.000 1
I1 I 0.000 0.000 0.500 1

***

Record 11
# PBE Tc3AsI, optimized geometry
# - Relative energy among the computed polymorphs: 789 meV per atom
# - Energy relative to the elements, uncorrected: 2105 meV per atom
data_Tc3AsI
_space_group_name_H-M_alt 'P m -3 m'
_space_group_IT_number 221
_space_group_name_Hall '-P 4 2 3'
_cell_length_a 4.831
_cell_length_b 4.831
_cell_length_c 4.831
_cell_angle_alpha 90.00
_cell_angle_beta 90.00
_cell_angle_gamma 90.00
loop_
_atom_site_label
_atom_site_type_symbol
_atom_site_fract_x
_atom_site_fract_y
_atom_site_fract_z
_atom_site_occupancy
Tc1 Tc 0.000 0.000 0.500 1
As1 As 0.500 0.500 0.500 1
I1 I 0.000 0.000 0.000 1

***

Record 12
# PBE Tc2AsI, optimized geometry
# - Relative energy among the computed polymorphs: 156 meV per atom
# - Energy relative to the elements, uncorrected: 757 meV per atom
data_Tc2AsI
_space_group_name_H-M_alt 'I -4 2 d'
_space_group_IT_number 122
_space_group_name_Hall 'I -4 2bw'
_cell_length_a 5.698
_cell_length_b 5.698
_cell_length_c 11.663
_cell_angle_alpha 90.00
_cell_angle_beta 90.00
_cell_angle_gamma 90.00
loop_
_atom_site_label
_atom_site_type_symbol
_atom_site_fract_x
_atom_site_fract_y
_atom_site_fract_z
_atom_site_occupancy
Tc1 Tc 0.221 0.250 0.125 1
As1 As 0.000 0.000 0.000 1
I1 I 0.000 0.000 0.500 1